Here is a relaxed structure of K2PaWO6 from the Alexandria database. Energies are from PBE+U.

Cell: 5.966 5.966 5.966 Å, 120.06 120.06 89.90°
Positions (direct):
1 K 0.250 0.750 0.500
2 K 0.750 0.250 0.500
3 Pa 0.000 0.000 0.000
4 W 0.500 0.500 0.000
5 O 0.255 0.255 0.510
6 O 0.255 0.745 0.000
7 O 0.270 0.270 0.000
8 O 0.730 0.730 0.000
9 O 0.745 0.255 0.000
10 O 0.745 0.745 0.490

Calculated values
The volume is 15.00 A^3/atom. Its space group is I4/mmm, No. 139. As for the final energy: -7.468 eV per atom. For the density of states at the Fermi level, the calculation gives 0.0 states/eV per cell.